1.
Material: CdMo2P
Method: DFT, PBE-GGA
State: optimized geometry

Values from the calculation:
As for the volume: 66 Å³/cell. Its total energy is -6.817 eV per atom. The calculation puts the spin magnetization at 0.0 μB/f.u. As for the energy relative to the lowest polymorph listed for this composition: 182 meV/atom.

```
CdMo2P
1.0
1.6782 -2.4265 0.0000
1.6782 2.4265 0.0000
0.0000 0.0000 8.1330
Cd Mo P
1 2 1
direct
0.0000 0.0000 0.0000
0.5000 0.5000 0.2999
0.5000 0.5000 0.7001
0.0000 0.0000 0.5000
```

=====

2.
Material: TePO4
Method: DFT, PBE-GGA
State: optimized geometry

Values from the calculation:
For the uncorrected formation energy, the calculation gives -1.524 eV/atom. As for the volume: 356 Å³/cell. Its total energy is -6.254 eV per atom. The calculation puts the spin magnetization at 0.0 μB/f.u.

```
TePO4
1.0
4.8179 0.0000 0.0000
0.0000 6.3465 0.0000
-1.0287 0.0000 11.6295
Te P O
4 4 16
direct
0.2042 0.1441 0.0675
0.2042 0.3559 0.5675
0.7958 0.6441 0.4325
0.7958 0.8559 0.9325
0.2697 0.5042 0.8477
0.2697 0.9958 0.3477
0.7303 0.0042 0.6523
0.7303 0.4958 0.1523
0.1225 0.0033 0.2246
0.1225 0.4967 0.7246
0.1430 0.6974 0.9140
0.1430 0.8026 0.4140
0.2059 0.2043 0.4089
0.2059 0.2957 0.9089
0.4179 0.0469 0.6487
0.4179 0.4531 0.1487
0.5821 0.5469 0.8513
0.5821 0.9531 0.3513
0.7941 0.7043 0.0911
0.7941 0.7957 0.5911
0.8570 0.1974 0.5860
0.8570 0.3026 0.0860
0.8775 0.5033 0.2754
0.8775 0.9967 0.7754
```